1.
Density functional theory data (PBE-GGA) for AcTl3Hg6 after structural relaxation.

Unit cell a=14.6452 b=14.6452 c=9.4835 alpha=90.00 beta=90.00 gamma=120.00
Closest atoms and distances in Å follow each position.
Space group R-3 (No. 148, hexagonal axes)
Symmetry-distinct sites (fractional):
Ac: 0.0000 0.0000 0.0000 (multiplicity 3)  6 Hg 3.40, 6 Tl 3.66
Ac: 0.0000 0.0000 0.5000 (multiplicity 3)  6 Hg 3.41, 6 Tl 3.70
Tl: 0.0328 0.8262 0.2468 (multiplicity 18)  7 Hg 3.21-3.54
Hg: 0.0226 0.7854 0.5808 (multiplicity 18)  2 Hg 3.06-3.16, 3 Tl 3.21-3.36, 1 Ac 3.41
Hg: 0.0499 0.8040 0.9120 (multiplicity 18)  3 Hg 3.06-3.42, 3 Tl 3.21-3.33, 1 Ac 3.40

Computed properties:
DFT formation energy	-0.11	eV per atom
energy above the lowest structure with this stoichiometry	0.000	eV/atom

---

2.
Density functional theory data (PBE-GGA) for GdZrIn2 after structural relaxation.

Unit cell a=7.3409 b=7.3409 c=7.3409 alpha=90.00 beta=90.00 gamma=90.00
Closest atoms and distances in Å follow each position.
Space group Fm-3m (No. 225)
Symmetry-distinct sites (fractional):
Gd: 0.0000 0.0000 0.0000 (multiplicity 4)  8 In 3.18
Zr: 0.0000 0.0000 0.5000 (multiplicity 4)  8 In 3.18
In: 0.2500 0.2500 0.2500 (multiplicity 8)  4 Zr 3.18, 4 Gd 3.18

Computed properties:
DFT formation energy	-0.27	eV per atom
energy above the lowest structure with this stoichiometry	0.113	eV/atom

---

3.
Density functional theory data (PBE-GGA) for Sm3Zn2GaPd9 after structural relaxation.

Unit cell a=5.6648 b=5.6648 c=11.4324 alpha=90.00 beta=90.00 gamma=120.00
Closest atoms and distances in Å follow each position.
Space group P-3m1 (No. 164)
Symmetry-distinct sites (fractional):
Sm: 0.0000 0.0000 0.0000 (multiplicity 1)  6 Pd 2.83
Sm: 0.3333 0.6667 0.7525 (multiplicity 2)  9 Pd 3.01-3.27
Zn: 0.3333 0.6667 0.1684 (multiplicity 2)  6 Pd 2.52-2.53
Ga: 0.0000 0.0000 0.5000 (multiplicity 1)  6 Pd 2.49
Pd: 0.0000 0.5000 0.0000 (multiplicity 3)  2 Zn 2.53
Pd: 0.1671 0.3341 0.3359 (multiplicity 6)  1 Ga 2.49, 1 Zn 2.52

Computed properties:
DFT formation energy	-0.54	eV per atom

---

4.
Density functional theory data (PBE-GGA) for ScSnAsO2 after structural relaxation.

Unit cell a=4.0468 b=4.0468 c=5.6197 alpha=90.00 beta=90.00 gamma=90.00
Closest atoms and distances in Å follow each position.
Space group P4/mmm (No. 123)
Symmetry-distinct sites (fractional):
Sc: 0.0000 0.0000 0.0000 (multiplicity 1)  4 O 2.02
Sn: 0.5000 0.5000 0.5000 (multiplicity 1)  4 As 2.86
As: 0.0000 0.0000 0.5000 (multiplicity 1)  2 Sc 2.81, 4 Sn 2.86
O: 0.0000 0.5000 0.0000 (multiplicity 2)  2 Sc 2.02

Computed properties:
formation energy from raw total energies	-1221	meV per atom

---

5.
Density functional theory data (PBE-GGA) for EuHoPtRh after structural relaxation.

Unit cell a=6.9846 b=6.9846 c=6.9846 alpha=90.00 beta=90.00 gamma=90.00
Closest atoms and distances in Å follow each position.
Space group F-43m (No. 216)
Symmetry-distinct sites (fractional):
Eu: 0.0000 0.0000 0.0000 (multiplicity 4)  4 Rh 3.02, 4 Pt 3.02
Ho: 0.0000 0.0000 0.5000 (multiplicity 4)  4 Pt 3.02, 4 Rh 3.02
Pt: 0.2500 0.2500 0.7500 (multiplicity 4)  4 Ho 3.02, 4 Eu 3.02
Rh: 0.2500 0.2500 0.2500 (multiplicity 4)  4 Ho 3.02, 4 Eu 3.02

Computed properties:
DFT formation energy	-0.81	eV per atom

---

6.
Density functional theory data (PBE-GGA) for U2Tl3NiS6 after structural relaxation.

Unit cell a=6.6098 b=11.5178 c=8.0266 alpha=90.00 beta=105.99 gamma=90.00
Closest atoms and distances in Å follow each position.
Space group C2/m (No. 12)
Symmetry-distinct sites (fractional):
U: 0.0000 0.1664 0.0000 (multiplicity 4)  6 S 2.68-2.69
Tl: 0.0000 0.0000 0.5000 (multiplicity 2)  6 S 3.23-3.36
Tl: 0.0000 0.3330 0.5000 (multiplicity 4)  6 S 3.23-3.31
Ni: 0.0000 0.5000 0.0000 (multiplicity 2)  6 S 2.53-2.58
S: 0.2232 0.3394 0.1897 (multiplicity 8)  1 Ni 2.58, 2 U 2.68-2.69
S: 0.2479 0.0000 0.1863 (multiplicity 4)  1 Ni 2.53, 2 U 2.69

Computed properties:
formation energy from raw total energies	-780	meV per atom

---

7.
Density functional theory data (PBE-GGA) for MgGe3B after structural relaxation.

Unit cell a=4.9580 b=4.9580 c=4.9580 alpha=90.00 beta=90.00 gamma=90.00
Closest atoms and distances in Å follow each position.
Space group Pm-3m (No. 221)
Symmetry-distinct sites (fractional):
Mg: 0.0000 0.0000 0.0000 (multiplicity 1)  6 Ge 2.48
Ge: 0.0000 0.0000 0.5000 (multiplicity 3)  2 Mg 2.48
B: 0.5000 0.5000 0.5000 (multiplicity 1)  12 Ge 3.51

Computed properties:
DFT formation energy	1.57	eV per atom
energy above the lowest structure with this stoichiometry	1.018	eV/atom

---

8.
Density functional theory data (PBE-GGA) for AcHo4Sb5 after structural relaxation.

Unit cell a=4.4488 b=6.3378 c=22.2755 alpha=90.00 beta=90.00 gamma=90.00
Closest atoms and distances in Å follow each position.
Space group Immm (No. 71)
Symmetry-distinct sites (fractional):
Ac: 0.0000 0.0000 0.0000 (multiplicity 2)  6 Sb 3.17-3.30
Ho: 0.0000 0.0000 0.2048 (multiplicity 4)  6 Sb 3.08-3.17
Ho: 0.0000 0.0000 0.3987 (multiplicity 4)  6 Sb 3.10-3.17
Sb: 0.0000 0.5000 0.0000 (multiplicity 2)  4 Ho 3.17, 2 Ac 3.17
Sb: 0.0000 0.5000 0.1985 (multiplicity 4)  6 Ho 3.10-3.17
Sb: 0.0000 0.5000 0.3906 (multiplicity 4)  4 Ho 3.08-3.17, 2 Ac 3.30

Computed properties:
formation energy from raw total energies	-1095	meV per atom

---

What did the second record say?
Density functional theory data (PBE-GGA) for GdZrIn2 after structural relaxation.

Unit cell a=7.3409 b=7.3409 c=7.3409 alpha=90.00 beta=90.00 gamma=90.00
Closest atoms and distances in Å follow each position.
Space group Fm-3m (No. 225)
Symmetry-distinct sites (fractional):
Gd: 0.0000 0.0000 0.0000 (multiplicity 4)  8 In 3.18
Zr: 0.0000 0.0000 0.5000 (multiplicity 4)  8 In 3.18
In: 0.2500 0.2500 0.2500 (multiplicity 8)  4 Zr 3.18, 4 Gd 3.18

Computed properties:
DFT formation energy	-0.27	eV per atom
energy above the lowest structure with this stoichiometry	0.113	eV/atom